No. 1
An optimized crystal structure of SiPCl. Source: the Alexandria database, functional PBEsol.

Computed properties:
- Crystal system: orthorhombic
- N(E_F): 4.5 states/eV/cell
- Electronic total energy: -4.308 eV/atom
- ρ: 2.63 Mg/m³

a = 3.299 Å, b = 5.585 Å, c = 12.948 Å
α = 90.00°, β = 90.00°, γ = 90.00°
Space group Fmm2 (No. 42)
Asymmetric unit:
Si1 0.000 0.000 0.000
P1 0.000 0.000 0.386
Cl1 0.000 0.000 0.643

---

No. 2
An optimized crystal structure of AgP2WCl. Source: the Alexandria database, functional PBEsol.

Computed properties:
- Crystal system: tetragonal
- N(E_F): 4.1 states/eV/cell
- Electronic total energy: -4.466 eV/atom
- ρ: 6.33 Mg/m³

a = 4.678 Å, b = 4.678 Å, c = 4.663 Å
α = 90.00°, β = 90.00°, γ = 90.00°
Space group P4/mmm (No. 123)
Asymmetric unit:
Ag1 0.000 0.000 0.000
P1 0.000 0.500 0.000
W1 0.500 0.500 0.500
Cl1 0.000 0.000 0.500

---

No. 3
An optimized crystal structure of FeNiHg2. Source: the Alexandria database, functional PBEsol.

Computed properties:
- Crystal system: monoclinic
- N(E_F): 7.7 states/eV/cell
- Electronic total energy: -3.654 eV/atom
- Energy relative to the elements: 410 meV/atom
- ρ: 13.48 Mg/m³

a = 8.581 Å, b = 2.929 Å, c = 5.153 Å
α = 90.00°, β = 101.27°, γ = 90.00°
Space group C2/m (No. 12)
Asymmetric unit:
Fe1 0.000 0.000 0.000
Ni1 0.000 0.500 0.500
Hg1 0.247 0.000 0.746

---

No. 4
An optimized crystal structure of MgTc2Mo. Source: the Alexandria database, functional PBEsol.

Computed properties:
- Crystal system: orthorhombic
- N(E_F): 6.8 states/eV/cell
- Electronic total energy: -8.742 eV/atom
- Energy relative to the elements: 262 meV/atom
- ρ: 8.64 Mg/m³

a = 3.040 Å, b = 4.406 Å, c = 9.076 Å
α = 90.00°, β = 90.00°, γ = 90.00°
Space group Cmm2 (No. 35)
Asymmetric unit:
Mg1 0.000 0.000 0.000
Tc1 0.000 0.000 0.491
Tc2 0.000 0.500 0.258
Mo1 0.000 0.500 0.731

---

No. 5
An optimized crystal structure of Li2Cu3F9. Source: the Alexandria database, functional PBEsol.

Computed properties:
- Crystal system: triclinic
- N(E_F): 3.7 states/eV/cell
- Electronic total energy: -4.297 eV/atom
- ρ: 4.10 Mg/m³

a = 5.843 Å, b = 7.390 Å, c = 7.666 Å
α = 108.15°, β = 95.02°, γ = 101.74°
Space group P-1 (No. 2)
Asymmetric unit:
Li1 0.078 0.451 0.317
Li2 0.079 0.200 0.509
Cu1 0.249 0.009 0.001
Cu2 0.254 0.509 0.993
Cu3 0.449 0.812 0.533
F1 0.021 0.039 0.177
F2 0.136 0.380 0.750
F3 0.144 0.713 0.959
F4 0.152 0.668 0.556
F5 0.277 0.003 0.499
F6 0.334 0.327 0.422
F7 0.338 0.631 0.244
F8 0.347 0.296 0.021
F9 0.478 0.959 0.826

---

No. 6
An optimized crystal structure of ErFe5P3. Source: the Alexandria database, functional PBEsol.

Computed properties:
- Crystal system: orthorhombic
- N(E_F): 31.7 states/eV/cell
- Electronic total energy: -8.318 eV/atom
- Energy relative to the elements: -860 meV/atom
- ρ: 8.51 Mg/m³

a = 11.598 Å, b = 3.596 Å, c = 10.091 Å
α = 90.00°, β = 90.00°, γ = 90.00°
Space group Pnma (No. 62)
Asymmetric unit:
Er1 0.204 0.250 0.080
Fe1 0.010 0.750 0.095
Fe2 0.011 0.750 0.706
Fe3 0.067 0.750 0.464
Fe4 0.175 0.250 0.780
Fe5 0.201 0.250 0.377
P1 0.104 0.750 0.897
P2 0.114 0.250 0.579
P3 0.130 0.750 0.266

---

No. 7
An optimized crystal structure of Cd3Au2. Source: the Alexandria database, functional PBEsol.

Computed properties:
- Crystal system: orthorhombic
- N(E_F): 3.0 states/eV/cell
- Electronic total energy: -2.375 eV/atom
- Energy relative to the elements: -87 meV/atom
- ρ: 12.94 Mg/m³

a = 3.165 Å, b = 4.041 Å, c = 14.677 Å
α = 90.00°, β = 90.00°, γ = 90.00°
Space group Immm (No. 71)
Asymmetric unit:
Cd1 0.000 0.000 0.000
Cd2 0.000 0.000 0.392
Au1 0.000 0.000 0.198

---

No. 8
An optimized crystal structure of BaHg2Pb. Source: the Alexandria database, functional PBEsol.

Computed properties:
- Crystal system: tetragonal
- N(E_F): 1.5 states/eV/cell
- Electronic total energy: -2.201 eV/atom
- Energy relative to the elements: -380 meV/atom
- ρ: 10.54 Mg/m³

a = 3.921 Å, b = 3.921 Å, c = 7.643 Å
α = 90.00°, β = 90.00°, γ = 90.00°
Space group P4/mmm (No. 123)
Asymmetric unit:
Ba1 0.000 0.000 0.000
Hg1 0.500 0.500 0.275
Pb1 0.000 0.000 0.500

---

No. 9
An optimized crystal structure of ScNiAg2. Source: the Alexandria database, functional PBEsol.

Computed properties:
- Crystal system: tetragonal
- N(E_F): 3.3 states/eV/cell
- Electronic total energy: -5.052 eV/atom
- Energy relative to the elements: -206 meV/atom
- ρ: 8.49 Mg/m³

a = 3.950 Å, b = 3.950 Å, c = 8.007 Å
α = 90.00°, β = 90.00°, γ = 90.00°
Space group I-4m2 (No. 119)
Asymmetric unit:
Sc1 0.000 0.000 0.000
Ni1 0.000 0.500 0.750
Ag1 0.000 0.000 0.500
Ag2 0.000 0.500 0.250

---

No. 10
An optimized crystal structure of YTeRu2. Source: the Alexandria database, functional PBEsol.

Computed properties:
- Crystal system: trigonal
- N(E_F): 11.8 states/eV/cell
- Electronic total energy: -7.883 eV/atom
- ρ: 8.48 Mg/m³

a = 4.2934 Å, b = 4.2934 Å, c = 15.4076 Å
α = 90.00°, β = 90.00°, γ = 120.00°
Space group R3m (No. 160, hexagonal axes)
Asymmetric unit:
Y1 0.0000 0.0000 0.0000
Te1 0.0000 0.0000 0.2029
Ru1 0.0000 0.0000 0.4536
Ru2 0.0000 0.0000 0.7850

---

No. 11
An optimized crystal structure of SrAlZn2. Source: the Alexandria database, functional PBEsol.

Computed properties:
- Crystal system: trigonal
- N(E_F): 6.8 states/eV/cell
- Electronic total energy: -2.453 eV/atom
- Energy relative to the elements: -179 meV/atom
- ρ: 4.50 Mg/m³

a = 4.2845 Å, b = 4.2845 Å, c = 17.0956 Å
α = 90.00°, β = 90.00°, γ = 120.00°
Space group R3m (No. 160, hexagonal axes)
Asymmetric unit:
Sr1 0.0000 0.0000 0.0000
Al1 0.0000 0.0000 0.2009
Zn1 0.0000 0.0000 0.4818
Zn2 0.0000 0.0000 0.8014

---

No. 12
An optimized crystal structure of RbYCdPd2. Source: the Alexandria database, functional PBEsol.

Computed properties:
- Crystal system: tetragonal
- N(E_F): 4.3 states/eV/cell
- Electronic total energy: -3.652 eV/atom
- Energy relative to the elements: 541 meV/atom
- ρ: 5.87 Mg/m³

a = 5.159 Å, b = 5.159 Å, c = 5.309 Å
α = 90.00°, β = 90.00°, γ = 90.00°
Space group P4/mmm (No. 123)
Asymmetric unit:
Rb1 0.000 0.000 0.000
Y1 0.500 0.500 0.000
Cd1 0.500 0.500 0.500
Pd1 0.000 0.500 0.500